No. 1
The following is a GGA-PBEsol calculation of crystalline DyGa6 at its relaxed geometry, from the Alexandria database.

Unit cell a=5.8470 b=5.8470 c=7.4883 alpha=90.00 beta=90.00 gamma=90.00
Sites, in units of the cell vectors:
Dy1 0.5000 0.0000 0.0000
Dy2 0.0000 0.5000 0.0000
Ga1 0.5000 0.5000 0.1610
Ga2 0.0000 0.0000 0.1610
Ga3 0.0000 0.0000 0.8390
Ga4 0.5000 0.5000 0.8390
Ga5 0.8215 0.6785 0.3521
Ga6 0.3215 0.8215 0.3521
Ga7 0.6785 0.1785 0.3521
Ga8 0.1785 0.3215 0.3521
Ga9 0.6785 0.8215 0.6479
Ga10 0.1785 0.6785 0.6479
Ga11 0.8215 0.3215 0.6479
Ga12 0.3215 0.1785 0.6479

Summary:
formation enthalpy at 0 K = -34.9 kJ/mol of atoms
density of states at the Fermi level = 0.1669 states/eV per atom
crystal system = tetragonal

No. 2
The following is a GGA-PBEsol calculation of crystalline SbRh2W at its relaxed geometry, from the Alexandria database.

Unit cell a=4.0413 b=3.9575 c=3.8853 alpha=90.00 beta=90.00 gamma=90.00
Sites, in units of the cell vectors:
Rh1 0.0000 0.0000 0.0000
Rh2 0.5000 0.0000 0.5000
Sb1 0.5000 0.5000 0.0000
W1 0.0000 0.5000 0.5000

Summary:
density of states at the Fermi level = 0.8733 states/eV per atom
formation energy (no corrections) = 0.44 eV per formula unit
crystal system = orthorhombic

No. 3
The following is a GGA-PBEsol calculation of crystalline ZnAs3O at its relaxed geometry, from the Alexandria database.

Unit cell a=4.7130 b=4.7130 c=4.7130 alpha=90.00 beta=90.00 gamma=90.00
Sites, in units of the cell vectors:
As1 0.0000 0.5000 0.0000
As2 0.0000 0.0000 0.5000
As3 0.5000 0.0000 0.0000
Zn1 0.0000 0.0000 0.0000
O1 0.5000 0.5000 0.5000

Summary:
density of states at the Fermi level = 0.7070 states/eV per atom
formation energy (no corrections) = 5.88 eV per formula unit
crystal system = cubic

No. 4
The following is a GGA-PBEsol calculation of crystalline In2FeAg at its relaxed geometry, from the Alexandria database.

Unit cell a=3.5785 b=4.3978 c=4.3978 alpha=90.00 beta=90.00 gamma=90.00
Sites, in units of the cell vectors:
Ag1 0.5000 0.5000 0.5000
Fe1 0.5000 0.0000 0.0000
In1 0.0000 0.0000 0.5000
In2 0.0000 0.5000 0.0000

Summary:
formation enthalpy at 0 K = 20.2 kJ/mol of atoms
density of states at the Fermi level = 0.7702 states/eV per atom
ΔE to the lowest computed polymorph = 0 meV/atom
crystal system = tetragonal

No. 5
The following is a GGA-PBEsol calculation of crystalline TaHgBr2 at its relaxed geometry, from the Alexandria database.

Unit cell a=3.2410 b=3.2410 c=8.1500 alpha=90.00 beta=90.00 gamma=90.00
Sites, in units of the cell vectors:
Hg1 0.0000 0.0000 0.5222
Br1 0.0000 0.0000 0.9426
Br2 0.5000 0.5000 0.2792
Ta1 0.5000 0.5000 0.7560

Summary:
density of states at the Fermi level = 0.5004 states/eV per atom
ΔE to the lowest computed polymorph = 0 meV/atom
formation energy (no corrections) = 0.35 eV per formula unit
crystal system = tetragonal

No. 6
The following is a GGA-PBEsol calculation of crystalline K2Sn3Sb2S10 at its relaxed geometry, from the Alexandria database.

Unit cell a=6.6557 b=10.4690 c=12.9987 alpha=90.00 beta=90.00 gamma=98.64
Sites, in units of the cell vectors:
K1 0.3892 0.8223 0.3265
K2 0.8892 0.3223 0.1735
K3 0.6108 0.1777 0.6735
K4 0.1108 0.6777 0.8265
Sn1 0.5000 0.0000 0.0000
Sn2 0.0000 0.5000 0.5000
Sn3 0.5471 0.6595 0.0516
Sn4 0.0471 0.1595 0.4484
Sn5 0.4529 0.3405 0.9484
Sn6 0.9529 0.8405 0.5516
Sb1 0.9149 0.9158 0.1574
Sb2 0.4149 0.4158 0.3426
Sb3 0.0851 0.0842 0.8426
Sb4 0.5851 0.5842 0.6574
S1 0.6294 0.0371 0.1833
S2 0.1294 0.5371 0.3167
S3 0.3706 0.9629 0.8167
S4 0.8706 0.4629 0.6833
S5 0.8001 0.8704 0.9745
S6 0.3001 0.3704 0.5255
S7 0.1999 0.1296 0.0255
S8 0.6999 0.6296 0.4745
S9 0.7254 0.2131 0.9472
S10 0.2254 0.7131 0.5528
S11 0.2746 0.7869 0.0528
S12 0.7746 0.2869 0.4472
S13 0.7470 0.6911 0.2068
S14 0.2470 0.1911 0.2932
S15 0.2530 0.3089 0.7932
S16 0.7530 0.8089 0.7068
S17 0.6449 0.5570 0.8946
S18 0.1449 0.0570 0.6054
S19 0.3551 0.4430 0.1054
S20 0.8551 0.9430 0.3946

Summary:
formation energy (no corrections) = -9.57 eV per formula unit
crystal system = monoclinic